No. 1
PrZn2AsN | PBE | optimized geometry

The structure belongs to space group Cmcm (No. 63); the cell edges are 3.815, 11.355 and 7.965 Å and the angles 90.00°, 90.00° and 90.00°. The distinct sites, in fractional coordinates, are Pr at (0.000, 0.042, 0.250), Zn at (0.000, 0.330, 0.048), As at (0.000, 0.234, 0.750) and N at (0.000, 0.500, 0.000).

The calculation puts the magnetization at 0.00 μB per formula unit. The value obtained for the formation energy without anion corrections is -493 meV/atom. The density of states at the Fermi level is 4.1 states/eV per cell.


No. 2
AsPtN2 | PBE | optimized geometry

The structure belongs to space group R-3m (No. 166, hexagonal axes); the cell edges are 3.1638, 3.1638 and 18.2366 Å and the angles 90.00°, 90.00° and 120.00°. The distinct sites, in fractional coordinates, are As at (0.0000, 0.0000, 0.0000), Pt at (0.0000, 0.0000, 0.5000) and N at (0.0000, 0.0000, 0.1120).

The calculation puts the magnetization at 0.00 μB per formula unit. The value obtained for the formation energy without anion corrections is 792 meV/atom. The density of states at the Fermi level is 5.6 states/eV per cell.


No. 3
AsPtN2 | PBE | optimized geometry

The structure belongs to space group R-3m (No. 166, hexagonal axes); the cell edges are 2.9239, 2.9239 and 18.4686 Å and the angles 90.00°, 90.00° and 120.00°. The distinct sites, in fractional coordinates, are As at (0.0000, 0.0000, 0.0000), Pt at (0.0000, 0.0000, 0.5000) and N at (0.0000, 0.0000, 0.3897).

The calculation puts the magnetization at 0.00 μB per formula unit. The value obtained for the formation energy without anion corrections is 440 meV/atom. The density of states at the Fermi level is 1.7 states/eV per cell.


No. 4
As3PtN | PBE | optimized geometry

The structure belongs to space group Pm-3m (No. 221); the cell edges are 4.867, 4.867 and 4.867 Å and the angles 90.00°, 90.00° and 90.00°. The distinct sites, in fractional coordinates, are As at (0.000, 0.000, 0.500), Pt at (0.000, 0.000, 0.000) and N at (0.500, 0.500, 0.500).

The calculation puts the magnetization at 0.00 μB per formula unit. The value obtained for the formation energy without anion corrections is 1720 meV/atom. The density of states at the Fermi level is 4.7 states/eV per cell. As for the relative energy among the computed polymorphs: 1098 meV per atom.


No. 5
AsPt2N | PBE | optimized geometry

The structure belongs to space group Fm-3m (No. 225); the cell edges are 6.041, 6.041 and 6.041 Å and the angles 90.00°, 90.00° and 90.00°. The distinct sites, in fractional coordinates, are As at (0.000, 0.000, 0.000), Pt at (0.250, 0.250, 0.250) and N at (0.000, 0.000, 0.500).

The calculation puts the magnetization at 0.00 μB per formula unit. The value obtained for the formation energy without anion corrections is 861 meV/atom. The density of states at the Fermi level is 13.7 states/eV per cell. As for the relative energy among the computed polymorphs: 557 meV per atom.


No. 6
AsPt3N | PBE | optimized geometry

The structure belongs to space group Pm-3m (No. 221); the cell edges are 4.239, 4.239 and 4.239 Å and the angles 90.00°, 90.00° and 90.00°. The distinct sites, in fractional coordinates, are As at (0.000, 0.000, 0.000), Pt at (0.000, 0.500, 0.500) and N at (0.500, 0.500, 0.500).

The calculation puts the magnetization at 0.00 μB per formula unit. The value obtained for the formation energy without anion corrections is 614 meV/atom. The density of states at the Fermi level is 3.7 states/eV per cell. As for the relative energy among the computed polymorphs: 0 meV per atom.


No. 7
AsPtN3 | PBE | optimized geometry

The structure belongs to space group Pm-3m (No. 221); the cell edges are 3.744, 3.744 and 3.744 Å and the angles 90.00°, 90.00° and 90.00°. The distinct sites, in fractional coordinates, are As at (0.000, 0.000, 0.000), Pt at (0.500, 0.500, 0.500) and N at (0.000, 0.000, 0.500).

The calculation puts the magnetization at 0.00 μB per formula unit. The value obtained for the formation energy without anion corrections is 1866 meV/atom. The density of states at the Fermi level is 4.2 states/eV per cell.


No. 8
AsPtN3 | PBE | optimized geometry

The structure belongs to space group Pm-3m (No. 221); the cell edges are 3.923, 3.923 and 3.923 Å and the angles 90.00°, 90.00° and 90.00°. The distinct sites, in fractional coordinates, are As at (0.000, 0.000, 0.000), Pt at (0.500, 0.500, 0.500) and N at (0.000, 0.500, 0.500).

The calculation puts the magnetization at 1.62 μB per formula unit. The value obtained for the formation energy without anion corrections is 1929 meV/atom. The density of states at the Fermi level is 3.6 states/eV per cell.


No. 9
AsPt2N | PBE | optimized geometry

The structure belongs to space group I-42d (No. 122); the cell edges are 4.746, 4.746 and 11.998 Å and the angles 90.00°, 90.00° and 90.00°. The distinct sites, in fractional coordinates, are As at (0.000, 0.000, 0.000), Pt at (0.152, 0.250, 0.625) and N at (0.000, 0.000, 0.500).

The calculation puts the magnetization at 0.00 μB per formula unit. The value obtained for the formation energy without anion corrections is 304 meV/atom. The density of states at the Fermi level is 1.3 states/eV per cell. As for the relative energy among the computed polymorphs: 0 meV per atom.


No. 10
AsPtN2 | PBE | optimized geometry

The structure belongs to space group I-42d (No. 122); the cell edges are 4.908, 4.908 and 8.795 Å and the angles 90.00°, 90.00° and 90.00°. The distinct sites, in fractional coordinates, are As at (0.000, 0.000, 0.000), Pt at (0.000, 0.000, 0.500) and N at (0.207, 0.250, 0.125).

The calculation puts the magnetization at 0.00 μB per formula unit. The value obtained for the formation energy without anion corrections is 951 meV/atom. The density of states at the Fermi level is 6.5 states/eV per cell.


No. 11
AsPt3N | PBE | optimized geometry

The structure belongs to space group Pm-3m (No. 221); the cell edges are 4.683, 4.683 and 4.683 Å and the angles 90.00°, 90.00° and 90.00°. The distinct sites, in fractional coordinates, are As at (0.000, 0.000, 0.000), Pt at (0.000, 0.000, 0.500) and N at (0.500, 0.500, 0.500).

The calculation puts the magnetization at 1.80 μB per formula unit. The value obtained for the formation energy without anion corrections is 1627 meV/atom. The density of states at the Fermi level is 1.8 states/eV per cell. As for the relative energy among the computed polymorphs: 1013 meV per atom.


No. 12
As3PtN | PBE | optimized geometry

The structure belongs to space group Pm-3m (No. 221); the cell edges are 4.285, 4.285 and 4.285 Å and the angles 90.00°, 90.00° and 90.00°. The distinct sites, in fractional coordinates, are As at (0.000, 0.000, 0.500), Pt at (0.500, 0.500, 0.500) and N at (0.000, 0.000, 0.000).

The calculation puts the magnetization at 0.00 μB per formula unit. The value obtained for the formation energy without anion corrections is 622 meV/atom. The density of states at the Fermi level is 0.9 states/eV per cell. As for the relative energy among the computed polymorphs: 0 meV per atom.


Question: Which value of formation energy without anion corrections does entry 7 give?
Answer: 1866 meV/atom